Arrangement P

Material: Mn2V4Fe
Method: DFT, PBE
State: relaxed

Cell lengths 5.6484, 5.6484, 5.6894 Å; angles 90.00, 90.00, 90.00 degrees
Space group I4/mmm (No. 139)
Unique sites:
Mn 0.0000 0.5000 0.0000 [4 per cell]
V 0.2500 0.2500 0.2500 [8 per cell]
Fe 0.0000 0.0000 0.0000 [2 per cell]

Results
Volume (Å³/f.u.): 90.8


Arrangement Q

Material: Mn2V4Fe
Method: DFT, PBE
State: relaxed

Cell lengths 4.2465, 4.2465, 11.8898 Å; angles 90.00, 90.00, 90.00 degrees
Space group I4/mmm (No. 139)
Unique sites:
Mn 0.0000 0.0000 0.1203 [4 per cell]
V 0.0000 0.0000 0.3082 [4 per cell]
V 0.0000 0.5000 0.0000 [4 per cell]
Fe 0.0000 0.0000 0.5000 [2 per cell]

Results
Volume (Å³/f.u.): 107.2


Of them, arrangement Q has the lowest stability.


Arrangement P

Material: Mn2V2Fe
Method: DFT, PBE
State: relaxed

Cell lengths 6.5007, 6.5007, 2.9331 Å; angles 90.00, 90.00, 90.00 degrees
Space group P4/mbm (No. 127)
Unique sites:
Mn 0.1169 0.3831 0.0000 [4 per cell]
V 0.1969 0.6969 0.5000 [4 per cell]
Fe 0.0000 0.0000 0.0000 [2 per cell]

Results
Volume (Å³/f.u.): 62.0


Arrangement Q

Material: Mn2V2Fe
Method: DFT, PBE
State: relaxed

Cell lengths 2.8848, 4.0436, 10.1936 Å; angles 90.00, 98.19, 90.00 degrees
Space group P2_1/m (No. 11)
Unique sites:
Mn 0.0506 0.2500 0.1013 [2 per cell]
Mn 0.2476 0.2500 0.4953 [2 per cell]
V 0.3477 0.7500 0.6953 [2 per cell]
V 0.4502 0.2500 0.9002 [2 per cell]
Fe 0.1493 0.7500 0.2991 [2 per cell]

Results
Volume (Å³/f.u.): 58.8


Of them, arrangement P has the lowest stability.


Arrangement P

Material: MnFeW2
Method: DFT, PBE
State: relaxed

Cell lengths 3.0738, 3.0738, 5.8847 Å; angles 90.00, 90.00, 90.00 degrees
Space group P4mm (No. 99)
Unique sites:
Mn 0.0000 0.0000 0.0000 [1 per cell]
Fe 0.5000 0.5000 0.7598 [1 per cell]
W 0.0000 0.0000 0.5256 [1 per cell]
W 0.5000 0.5000 0.2366 [1 per cell]

Results
Volume (Å³/f.u.): 55.6


Arrangement Q

Material: MnFeW2
Method: DFT, PBE
State: relaxed

Cell lengths 6.0644, 6.0644, 6.0644 Å; angles 90.00, 90.00, 90.00 degrees
Space group F-43m (No. 216)
Unique sites:
Mn 0.0000 0.0000 0.0000 [4 per cell]
Fe 0.2500 0.2500 0.7500 [4 per cell]
W 0.0000 0.0000 0.5000 [4 per cell]
W 0.2500 0.2500 0.2500 [4 per cell]

Results
Volume (Å³/f.u.): 55.8


Arrangement R

Material: MnFeW2
Method: DFT, PBE
State: relaxed

Cell lengths 3.1598, 4.2690, 8.2748 Å; angles 90.00, 90.00, 90.00 degrees
Space group Immm (No. 71)
Unique sites:
Mn 0.0000 0.0000 0.0000 [2 per cell]
Fe 0.0000 0.0000 0.5000 [2 per cell]
W 0.0000 0.5000 0.2503 [4 per cell]

Results
Volume (Å³/f.u.): 55.8


Arrangement S

Material: MnFeW2
Method: DFT, PBE
State: relaxed

Cell lengths 2.6966, 2.6966, 7.5716 Å; angles 90.00, 90.00, 90.00 degrees
Space group P4/mmm (No. 123)
Unique sites:
Mn 0.0000 0.0000 0.0000 [1 per cell]
Fe 0.0000 0.0000 0.5000 [1 per cell]
W 0.5000 0.5000 0.2623 [2 per cell]

Results
Volume (Å³/f.u.): 55.1


Of them, arrangement S has the lowest stability.


Arrangement P

Material: MnFeW2
Method: DFT, PBE
State: relaxed

Cell lengths 2.7644, 2.7644, 26.0293 Å; angles 90.00, 90.00, 120.00 degrees
Space group R3m (No. 160, hexagonal axes)
Unique sites:
Mn 0.0000 0.0000 0.0000 [3 per cell]
Fe 0.0000 0.0000 0.7410 [3 per cell]
W 0.0000 0.0000 0.2487 [3 per cell]
W 0.0000 0.0000 0.4878 [3 per cell]

Results
Volume (Å³/f.u.): 57.4


Arrangement Q

Material: MnFeW2
Method: DFT, PBE
State: relaxed

Cell lengths 2.6459, 2.6459, 7.7889 Å; angles 90.00, 90.00, 90.00 degrees
Space group P4mm (No. 99)
Unique sites:
Mn 0.0000 0.0000 0.0000 [1 per cell]
Fe 0.5000 0.5000 0.8082 [1 per cell]
W 0.0000 0.0000 0.5555 [1 per cell]
W 0.5000 0.5000 0.2587 [1 per cell]

Results
Volume (Å³/f.u.): 54.5


Of them, arrangement P has the lowest stability.